1.
Crystalline K2MnCu at its relaxed geometry, computed with GGA-PBEsol.

formation enthalpy at 0 K = 0.979 eV per atom
excess energy over the best structure of this formula in the dataset = 8.13 kcal/mol of atoms

abc: 5.306 5.306 5.306
angles: 60.00 60.00 60.00
Fractional positions:
K1 0.000 0.000 0.000
K2 0.250 0.250 0.250
Mn1 0.750 0.750 0.750
Cu1 0.500 0.500 0.500


2.
Crystalline K2MnCu at its relaxed geometry, computed with GGA-PBEsol.

formation enthalpy at 0 K = 1.108 eV per atom
excess energy over the best structure of this formula in the dataset = 11.10 kcal/mol of atoms

abc: 11.268 11.268 11.268
angles: 16.99 16.99 16.99
Fractional positions:
K1 0.243 0.243 0.243
K2 0.757 0.757 0.757
Mn1 0.000 0.000 0.000
Cu1 0.500 0.500 0.500


3.
Crystalline K2MnCu at its relaxed geometry, computed with GGA-PBEsol.

formation enthalpy at 0 K = 1.046 eV per atom
excess energy over the best structure of this formula in the dataset = 9.67 kcal/mol of atoms

abc: 6.144 6.144 6.144
angles: 135.97 135.97 64.02
Fractional positions:
K1 0.250 0.750 0.500
K2 0.750 0.250 0.500
Mn1 0.000 0.000 0.000
Cu1 0.500 0.500 0.000


4.
Crystalline KTb2CuMo4O16 at its relaxed geometry, computed with GGA-PBEsol.

abc: 6.757 6.757 19.391
angles: 91.57 91.57 134.73
Fractional positions:
K1 0.033 0.967 0.750
K2 0.967 0.033 0.250
Tb1 0.146 0.853 0.532
Tb2 0.147 0.854 0.968
Tb3 0.853 0.146 0.032
Tb4 0.854 0.147 0.468
Cu1 0.314 0.686 0.750
Cu2 0.686 0.314 0.250
Mo1 0.243 0.734 0.353
Mo2 0.266 0.757 0.147
Mo3 0.417 0.541 0.907
Mo4 0.459 0.583 0.593
Mo5 0.541 0.417 0.407
Mo6 0.583 0.459 0.093
Mo7 0.734 0.243 0.853
Mo8 0.757 0.266 0.647
O1 0.006 0.739 0.169
O2 0.053 0.579 0.432
O3 0.060 0.476 0.285
O4 0.101 0.407 0.132
O5 0.168 0.506 0.958
O6 0.221 0.260 0.538
O7 0.224 0.324 0.399
O8 0.260 0.221 0.038
O9 0.261 0.994 0.331
O10 0.307 0.485 0.672
O11 0.324 0.224 0.899
O12 0.407 0.101 0.632
O13 0.421 0.947 0.068
O14 0.476 0.060 0.785
O15 0.485 0.307 0.172
O16 0.494 0.832 0.542
O17 0.506 0.168 0.458
O18 0.515 0.693 0.828
O19 0.524 0.940 0.215
O20 0.579 0.053 0.932
O21 0.593 0.899 0.368
O22 0.676 0.776 0.101
O23 0.693 0.515 0.328
O24 0.739 0.006 0.669
O25 0.740 0.779 0.962
O26 0.776 0.676 0.601
O27 0.779 0.740 0.462
O28 0.832 0.494 0.042
O29 0.899 0.593 0.868
O30 0.940 0.524 0.715
O31 0.947 0.421 0.568
O32 0.994 0.261 0.831


5.
Crystalline KCuTc2Mo at its relaxed geometry, computed with GGA-PBEsol.

formation enthalpy at 0 K = 2.967 eV per atom

abc: 4.399 4.399 4.299
angles: 90.00 90.00 90.00
Fractional positions:
K1 0.000 0.000 0.000
Cu1 0.000 0.000 0.500
Tc1 0.000 0.500 0.000
Tc2 0.500 0.000 0.000
Mo1 0.500 0.500 0.500


6.
Crystalline K2ZnCuMo at its relaxed geometry, computed with GGA-PBEsol.

formation enthalpy at 0 K = 1.368 eV per atom

abc: 6.007 6.007 4.617
angles: 90.00 90.00 90.00
Fractional positions:
K1 0.000 0.500 0.000
K2 0.500 0.000 0.000
Zn1 0.000 0.000 0.500
Cu1 0.000 0.000 0.000
Mo1 0.500 0.500 0.500


7.
Crystalline KCu2N at its relaxed geometry, computed with GGA-PBEsol.

abc: 5.937 5.937 5.937
angles: 60.00 60.00 60.00
Fractional positions:
K1 0.125 0.125 0.125
K2 0.875 0.875 0.875
Cu1 0.000 0.500 0.500
Cu2 0.500 0.000 0.500
Cu3 0.500 0.500 0.000
Cu4 0.500 0.500 0.500
N1 0.375 0.375 0.375
N2 0.625 0.625 0.625


8.
Crystalline KCuN2 at its relaxed geometry, computed with GGA-PBEsol.

abc: 5.343 5.343 5.343
angles: 114.04 114.04 100.67
Fractional positions:
K1 0.000 0.000 0.000
K2 0.750 0.250 0.500
Cu1 0.250 0.750 0.500
Cu2 0.500 0.500 0.000
N1 0.256 0.125 0.631
N2 0.375 0.744 0.869
N3 0.494 0.625 0.369
N4 0.875 0.506 0.131


9.
Crystalline K3NaCu at its relaxed geometry, computed with GGA-PBEsol.

formation enthalpy at 0 K = 0.287 eV per atom
excess energy over the best structure of this formula in the dataset = 0.00 kcal/mol of atoms

abc: 6.353 6.353 6.353
angles: 90.00 90.00 90.00
Fractional positions:
K1 0.000 0.000 0.500
K2 0.000 0.500 0.000
K3 0.500 0.000 0.000
Na1 0.500 0.500 0.500
Cu1 0.000 0.000 0.000


10.
Crystalline KNaCuSi4O10 at its relaxed geometry, computed with GGA-PBEsol.

abc: 6.993 7.991 9.819
angles: 105.49 99.59 113.80
Fractional positions:
K1 0.174 0.294 0.000
K2 0.826 0.706 0.000
Na1 0.168 0.627 0.410
Na2 0.832 0.373 0.590
Cu1 0.328 0.363 0.586
Cu2 0.672 0.637 0.414
Si1 0.064 0.853 0.724
Si2 0.309 0.669 0.855
Si3 0.343 0.111 0.278
Si4 0.462 0.782 0.209
Si5 0.538 0.218 0.791
Si6 0.657 0.889 0.722
Si7 0.691 0.331 0.145
Si8 0.936 0.147 0.276
O1 0.057 0.307 0.442
O2 0.090 0.064 0.203
O3 0.131 0.754 0.840
O4 0.206 0.449 0.740
O5 0.282 0.051 0.743
O6 0.322 0.894 0.267
O7 0.366 0.677 0.026
O8 0.424 0.606 0.268
O9 0.462 0.171 0.155
O10 0.462 0.278 0.440
O11 0.538 0.722 0.560
O12 0.538 0.829 0.845
O13 0.576 0.394 0.732
O14 0.634 0.323 0.974
O15 0.678 0.106 0.733
O16 0.718 0.949 0.257
O17 0.794 0.551 0.260
O18 0.869 0.246 0.160
O19 0.910 0.936 0.797
O20 0.943 0.693 0.558


11.
Crystalline KNaCu2Pb at its relaxed geometry, computed with GGA-PBEsol.

formation enthalpy at 0 K = 0.561 eV per atom

abc: 5.027 5.027 6.225
angles: 90.00 90.00 90.00
Fractional positions:
K1 0.000 0.000 0.000
Na1 0.500 0.500 0.000
Cu1 0.000 0.500 0.500
Cu2 0.500 0.000 0.500
Pb1 0.000 0.000 0.500


12.
Crystalline KNbCu3 at its relaxed geometry, computed with GGA-PBEsol.

formation enthalpy at 0 K = 1.156 eV per atom
excess energy over the best structure of this formula in the dataset = 0.00 kcal/mol of atoms

abc: 4.886 4.886 4.886
angles: 90.00 90.00 90.00
Fractional positions:
K1 0.000 0.000 0.000
Nb1 0.500 0.500 0.500
Cu1 0.000 0.500 0.500
Cu2 0.500 0.000 0.500
Cu3 0.500 0.500 0.000


Number 1: energy -3.1114 eV/atom. Number 2: energy -2.9827 eV/atom. Number 3: energy -3.0447 eV/atom. Number 4: energy -8.4229 eV/atom. Number 5: energy -4.9871 eV/atom. Number 6: energy -2.6222 eV/atom. Number 7: energy -4.5814 eV/atom. Number 8: energy -4.6956 eV/atom. Number 9: energy -1.5399 eV/atom. Number 10: energy -7.2410 eV/atom. Number 11: energy -2.4790 eV/atom. Number 12: energy -3.8356 eV/atom.